Entry 1:
Below is an optimized crystal structure of Sr2LiW, with properties calculated at the PBE-GGA level.

Fermi-level density of states in states/eV/atom: 0.863
Relative energy among the computed polymorphs in meV per atom: 200
Energy relative to the elements in kJ per mole of atoms: 106

Lattice parameters (Å, degrees): 10.1082 3.1765 7.3212 90.00 94.51 90.00
Space group C2/m (No. 12)
Inequivalent atoms, fractional coordinates:
Sr: 0.2404 0.0000 0.2281 x4
Li: 0.0000 0.0000 0.5000 x2
W: 0.0000 0.5000 0.0000 x2

---

Entry 2:
Below is an optimized crystal structure of VReAs2Se, with properties calculated at the PBE-GGA level.

Fermi-level density of states in states/eV/atom: 0.652
Relative energy among the computed polymorphs in meV per atom: 0

Lattice parameters (Å, degrees): 4.7599 4.7599 4.6574 90.00 90.00 90.00
Space group P4/mmm (No. 123)
Inequivalent atoms, fractional coordinates:
V: 0.0000 0.0000 0.0000 x1
Re: 0.5000 0.5000 0.5000 x1
As: 0.0000 0.5000 0.0000 x2
Se: 0.0000 0.0000 0.5000 x1

---

Entry 3:
Below is an optimized crystal structure of MnBeMoOs, with properties calculated at the PBE-GGA level.

Fermi-level density of states in states/eV/atom: 0.770
Energy relative to the elements in kJ per mole of atoms: 1

Lattice parameters (Å, degrees): 5.8930 5.8930 5.8930 90.00 90.00 90.00
Space group F-43m (No. 216)
Inequivalent atoms, fractional coordinates:
Mn: 0.0000 0.0000 0.0000 x4
Be: 0.2500 0.2500 0.2500 x4
Mo: 0.2500 0.2500 0.7500 x4
Os: 0.0000 0.0000 0.5000 x4

---

Entry 4:
Below is an optimized crystal structure of Sr2InAs, with properties calculated at the PBE-GGA level.

Fermi-level density of states in states/eV/atom: 0.625
Relative energy among the computed polymorphs in meV per atom: 0
Energy relative to the elements in kJ per mole of atoms: -70

Lattice parameters (Å, degrees): 4.8826 4.4115 6.4477 90.00 112.23 90.00
Space group Pm (No. 6)
Inequivalent atoms, fractional coordinates:
Sr: 0.0000 0.0000 0.0000 x1
Sr: 0.2777 0.5000 0.5582 x1
In: 0.5674 0.5000 0.1342 x1
As: 0.7220 0.0000 0.4486 x1

---

Entry 5:
Below is an optimized crystal structure of TmHf2Al, with properties calculated at the PBE-GGA level.

Fermi-level density of states in states/eV/atom: 1.595
Relative energy among the computed polymorphs in meV per atom: 378
Energy relative to the elements in kJ per mole of atoms: 23

Lattice parameters (Å, degrees): 3.0789 3.0789 33.4389 90.00 90.00 120.00
Space group R-3m (No. 166, hexagonal axes)
Inequivalent atoms, fractional coordinates:
Tm: 0.0000 0.0000 0.0000 x3
Hf: 0.0000 0.0000 0.0943 x6
Al: 0.0000 0.0000 0.5000 x3

---

Entry 6:
Below is an optimized crystal structure of Mg3SnF, with properties calculated at the PBE-GGA level.

Fermi-level density of states in states/eV/atom: 0.235
Relative energy among the computed polymorphs in meV per atom: 0

Lattice parameters (Å, degrees): 4.5765 4.5765 4.5765 90.00 90.00 90.00
Space group Pm-3m (No. 221)
Inequivalent atoms, fractional coordinates:
Mg: 0.0000 0.0000 0.5000 x3
Sn: 0.5000 0.5000 0.5000 x1
F: 0.0000 0.0000 0.0000 x1

---

Entry 7:
Below is an optimized crystal structure of Tm2Hg2Ru, with properties calculated at the PBE-GGA level.

Fermi-level density of states in states/eV/atom: 0.499
Energy relative to the elements in kJ per mole of atoms: -42

Lattice parameters (Å, degrees): 3.4088 3.4088 19.1046 90.00 90.00 90.00
Space group I4/mmm (No. 139)
Inequivalent atoms, fractional coordinates:
Tm: 0.0000 0.0000 0.0855 x4
Hg: 0.0000 0.0000 0.3027 x4
Ru: 0.0000 0.0000 0.5000 x2

---

Entry 8:
Below is an optimized crystal structure of AlTl, with properties calculated at the PBE-GGA level.

Fermi-level density of states in states/eV/atom: 0.408
Energy relative to the elements in kJ per mole of atoms: 25

Lattice parameters (Å, degrees): 3.2627 5.3648 11.1884 90.00 90.00 90.00
Space group Imma (No. 74)
Inequivalent atoms, fractional coordinates:
Al: 0.0000 0.2500 0.1500 x4
Tl: 0.0000 0.2500 0.6060 x4